A relaxed structure of Hf2MnRe. Source: the Alexandria database, functional PBE-GGA. Values from VASP.

Structure (Quantum ESPRESSO input):
```
&SYSTEM
  ibrav = 0, nat = 4, ntyp = 3
/
ATOMIC_SPECIES
Hf 178.49 Hf.upf
Re 186.21 Re.upf
Mn 54.94 Mn.upf
CELL_PARAMETERS angstrom
-2.046 3.855 4.087
-1.773 -5.534 -1.406
3.769 -4.245 -1.876
ATOMIC_POSITIONS crystal
Hf 0.000 0.754 0.754
Hf 0.000 0.246 0.246
Re 0.000 0.500 0.500
Mn 0.000 0.000 0.000
```

***

A relaxed structure of HfMnRe. Source: the Alexandria database, functional PBE-GGA. Values from VASP.

Structure (Quantum ESPRESSO input):
```
&SYSTEM
  ibrav = 0, nat = 6, ntyp = 3
/
ATOMIC_SPECIES
Re 186.21 Re.upf
Hf 178.49 Hf.upf
Mn 54.94 Mn.upf
CELL_PARAMETERS angstrom
5.128 0.000 0.000
2.564 4.443 0.108
2.564 1.364 4.230
ATOMIC_POSITIONS crystal
Re 0.500 0.000 0.500
Re 0.500 0.500 0.000
Hf 0.125 0.625 0.625
Hf 0.875 0.375 0.375
Mn 0.500 0.000 0.000
Mn 0.000 0.000 0.000
```

***

Number 1: VASP energy -9.659 eV per atom. Number 2: VASP energy -10.870 eV per atom.